Record 1
# PBE AlReSi2, optimized geometry
# Fermi-level density of states   2.2 states/eV/cell
# Magnetic moment   0.0 Bohr magnetons per cell
# Calculated total energy   -6.6414 eV per atom
data_AlReSi2
_symmetry_space_group_name_H-M 'P 1'
_symmetry_Int_Tables_number 1
_symmetry_space_group_name_Hall 'P 1'
_cell_length_a 6.029
_cell_length_b 4.348
_cell_length_c 3.077
_cell_angle_alpha 89.37
_cell_angle_beta 60.36
_cell_angle_gamma 121.22
loop_
_atom_site_label
_atom_site_type_symbol
_atom_site_fract_x
_atom_site_fract_y
_atom_site_fract_z
_atom_site_occupancy
Re1 Re 0.500 0.500 0.000 1
Si1 Si 0.000 0.000 0.000 1
Si2 Si 0.500 0.000 0.500 1
Al1 Al 0.000 0.500 0.500 1

Record 2
# PBE Al2ReSi, optimized geometry
# Fermi-level density of states   4.4 states/eV/cell
# Magnetic moment   0.0 Bohr magnetons per cell
# Calculated total energy   -6.1643 eV per atom
data_Al2ReSi
_symmetry_space_group_name_H-M 'P 1'
_symmetry_Int_Tables_number 1
_symmetry_space_group_name_Hall 'P 1'
_cell_length_a 4.326
_cell_length_b 4.326
_cell_length_c 4.326
_cell_angle_alpha 60.00
_cell_angle_beta 60.00
_cell_angle_gamma 60.00
loop_
_atom_site_label
_atom_site_type_symbol
_atom_site_fract_x
_atom_site_fract_y
_atom_site_fract_z
_atom_site_occupancy
Re1 Re 0.500 0.500 0.500 1
Si1 Si 0.750 0.750 0.750 1
Al1 Al 0.000 0.000 0.000 1
Al2 Al 0.250 0.250 0.250 1

Record 3
# PBE TiAlRe2Si, optimized geometry
# Fermi-level density of states   6.7 states/eV/cell
# Magnetic moment   0.0 Bohr magnetons per cell
# Calculated total energy   -7.0052 eV per atom
data_TiAlRe2Si
_symmetry_space_group_name_H-M 'P 1'
_symmetry_Int_Tables_number 1
_symmetry_space_group_name_Hall 'P 1'
_cell_length_a 4.523
_cell_length_b 4.271
_cell_length_c 4.523
_cell_angle_alpha 90.00
_cell_angle_beta 90.00
_cell_angle_gamma 90.00
loop_
_atom_site_label
_atom_site_type_symbol
_atom_site_fract_x
_atom_site_fract_y
_atom_site_fract_z
_atom_site_occupancy
Re1 Re 0.000 0.000 0.500 1
Re2 Re 0.500 0.000 0.000 1
Si1 Si 0.000 0.500 0.000 1
Al1 Al 0.000 0.000 0.000 1
Ti1 Ti 0.500 0.500 0.500 1

Record 4
# PBE AlReSiW, optimized geometry
# Fermi-level density of states   0.9 states/eV/cell
# Magnetic moment   0.0 Bohr magnetons per cell
# Calculated total energy   -8.9107 eV per atom
data_AlReSiW
_symmetry_space_group_name_H-M 'P 1'
_symmetry_Int_Tables_number 1
_symmetry_space_group_name_Hall 'P 1'
_cell_length_a 3.158
_cell_length_b 3.158
_cell_length_c 5.740
_cell_angle_alpha 90.00
_cell_angle_beta 90.00
_cell_angle_gamma 90.00
loop_
_atom_site_label
_atom_site_type_symbol
_atom_site_fract_x
_atom_site_fract_y
_atom_site_fract_z
_atom_site_occupancy
Al1 Al 0.000 0.000 0.358 1
Re1 Re 0.500 0.500 0.124 1
Si1 Si 0.500 0.500 0.606 1
W1 W 0.000 0.000 0.840 1

Question: Look up the magnetic moment of the third one.
Answer: 0.0 Bohr magnetons per cell